# 1
{"formula": "PuRuAuO6", "functional": "PBE-GGA", "state": "optimized geometry", "lattice_angstrom": [[5.3049, 0.0000, 0.0000], [-2.6525, 4.5942, 0.0000], [0.0000, 0.0000, 9.6394]], "species": ["Pu", "Pu", "Ru", "Ru", "Au", "Au", "O", "O", "O", "O", "O", "O", "O", "O", "O", "O", "O", "O"], "frac_coords": [[0.3333, 0.6667, 0.2500], [0.6667, 0.3333, 0.7500], [0.3333, 0.6667, 0.7500], [0.6667, 0.3333, 0.2500], [0.0000, 0.0000, 0.0000], [0.0000, 0.0000, 0.5000], [0.0126, 0.3611, 0.6347], [0.0126, 0.6515, 0.8653], [0.3485, 0.3611, 0.8653], [0.3485, 0.9874, 0.6347], [0.3611, 0.0126, 0.1347], [0.3611, 0.3485, 0.3653], [0.6389, 0.6515, 0.6347], [0.6389, 0.9874, 0.8653], [0.6515, 0.0126, 0.3653], [0.6515, 0.6389, 0.1347], [0.9874, 0.3485, 0.1347], [0.9874, 0.6389, 0.3653]], "spacegroup": "P-31c (163)", "rho_g_cm3": 9.02, "m_tot_mub_per_fu": 1.6, "total_energy_ev_per_atom": -7.624, "volume_a3_per_atom": 13.1, "raw_formation_energy_ev_per_fu": -12.0}

# 2
{"formula": "NaCdGa", "functional": "PBE-GGA", "state": "optimized geometry", "lattice_angstrom": [[4.8594, 0.0000, 0.0000], [-2.4297, 4.2083, 0.0000], [0.0000, 0.0000, 3.3284]], "species": ["Na", "Cd", "Ga"], "frac_coords": [[0.0000, 0.0000, 0.0000], [0.6667, 0.3333, 0.5000], [0.3333, 0.6667, 0.5000]], "spacegroup": "P-6m2 (187)", "rho_g_cm3": 5.00, "m_tot_mub_per_fu": 0.0, "e_form_ev_per_atom": -0.091, "total_energy_ev_per_atom": -1.844, "volume_a3_per_atom": 22.7}